(P)
The following is a PBE-GGA calculation of crystalline Cr3TcN at its relaxed geometry, from the Alexandria database.

It has space group Pm-3m (No. 221), with a = 4.6635 Å, b = 4.6635 Å, c = 4.6635 Å, α = 90.00°, β = 90.00° and γ = 90.00°. The distinct sites, in fractional coordinates, are Cr at (0.0000, 0.0000, 0.5000), Tc at (0.0000, 0.0000, 0.0000) and N at (0.5000, 0.5000, 0.5000).

As for the crystal system: cubic. Its density of states at the Fermi level is 5.3 states/eV per cell.

---

(Q)
The following is a PBE-GGA calculation of crystalline Cr3TcN at its relaxed geometry, from the Alexandria database.

It has space group Pm-3m (No. 221), with a = 3.8200 Å, b = 3.8200 Å, c = 3.8200 Å, α = 90.00°, β = 90.00° and γ = 90.00°. The distinct sites, in fractional coordinates, are Cr at (0.0000, 0.0000, 0.5000), Tc at (0.5000, 0.5000, 0.5000) and N at (0.0000, 0.0000, 0.0000).

As for the crystal system: cubic. Its density of states at the Fermi level is 4.3 states/eV per cell.

---

Stability summary - winner: (Q); margin: 2.399 eV/atom.

---

(P)
The following is a PBE-GGA calculation of crystalline CrTc3N at its relaxed geometry, from the Alexandria database.

It has space group Pm-3m (No. 221), with a = 4.3764 Å, b = 4.3764 Å, c = 4.3764 Å, α = 90.00°, β = 90.00° and γ = 90.00°. The distinct sites, in fractional coordinates, are Cr at (0.0000, 0.0000, 0.0000), Tc at (0.0000, 0.0000, 0.5000) and N at (0.5000, 0.5000, 0.5000).

As for the crystal system: cubic. Its density of states at the Fermi level is 5.6 states/eV per cell.

---

(Q)
The following is a PBE-GGA calculation of crystalline CrTc3N at its relaxed geometry, from the Alexandria database.

It has space group Pm-3m (No. 221), with a = 4.0022 Å, b = 4.0022 Å, c = 4.0022 Å, α = 90.00°, β = 90.00° and γ = 90.00°. The distinct sites, in fractional coordinates, are Cr at (0.0000, 0.0000, 0.0000), Tc at (0.0000, 0.5000, 0.5000) and N at (0.5000, 0.5000, 0.5000).

As for the crystal system: cubic. Its density of states at the Fermi level is 6.4 states/eV per cell.

---

Stability summary - winner: (Q); margin: 2.281 eV/atom.

---

(P)
The following is a PBE-GGA calculation of crystalline CrTcTeN2 at its relaxed geometry, from the Alexandria database.

It has space group P4/mmm (No. 123), with a = 3.8617 Å, b = 3.8617 Å, c = 5.8456 Å, α = 90.00°, β = 90.00° and γ = 90.00°. The distinct sites, in fractional coordinates, are Cr at (0.0000, 0.0000, 0.0000), Tc at (0.5000, 0.5000, 0.5000), Te at (0.5000, 0.5000, 0.0000) and N at (0.0000, 0.5000, 0.5000).

As for the crystal system: tetragonal. Its density of states at the Fermi level is 4.0 states/eV per cell.

---

(Q)
The following is a PBE-GGA calculation of crystalline CrTcTeN2 at its relaxed geometry, from the Alexandria database.

It has space group P4/mmm (No. 123), with a = 3.7863 Å, b = 3.7863 Å, c = 5.5703 Å, α = 90.00°, β = 90.00° and γ = 90.00°. The distinct sites, in fractional coordinates, are Cr at (0.0000, 0.0000, 0.0000), Tc at (0.5000, 0.5000, 0.5000), Te at (0.0000, 0.0000, 0.5000) and N at (0.0000, 0.5000, 0.0000).

As for the crystal system: tetragonal. Its density of states at the Fermi level is 3.9 states/eV per cell.

---

Stability summary - winner: (P); margin: 0.348 eV/atom.

---

(P)
The following is a PBE-GGA calculation of crystalline ZnCrTc2N at its relaxed geometry, from the Alexandria database.

It has space group P4/mmm (No. 123), with a = 4.0374 Å, b = 4.0374 Å, c = 3.8393 Å, α = 90.00°, β = 90.00° and γ = 90.00°. The distinct sites, in fractional coordinates, are Zn at (0.0000, 0.0000, 0.0000), Cr at (0.5000, 0.5000, 0.0000), Tc at (0.0000, 0.5000, 0.5000) and N at (0.5000, 0.5000, 0.5000).

As for the crystal system: tetragonal. Its density of states at the Fermi level is 4.6 states/eV per cell.

---

(Q)
The following is a PBE-GGA calculation of crystalline ZnCrTc2N at its relaxed geometry, from the Alexandria database.

It has space group P4/mmm (No. 123), with a = 4.5980 Å, b = 4.5980 Å, c = 3.5316 Å, α = 90.00°, β = 90.00° and γ = 90.00°. The distinct sites, in fractional coordinates, are Zn at (0.0000, 0.0000, 0.0000), Cr at (0.5000, 0.5000, 0.5000), Tc at (0.0000, 0.5000, 0.5000) and N at (0.5000, 0.5000, 0.0000).

As for the crystal system: tetragonal. Its density of states at the Fermi level is 5.1 states/eV per cell.

---

Stability summary - winner: (P); margin: 1.143 eV/atom.

---

(P)
The following is a PBE-GGA calculation of crystalline CrTeN at its relaxed geometry, from the Alexandria database.

It has space group Immm (No. 71), with a = 3.0177 Å, b = 5.7541 Å, c = 11.4455 Å, α = 90.00°, β = 90.00° and γ = 90.00°. The distinct sites, in fractional coordinates, are Cr at (0.0000, 0.0000, 0.1114), Te at (0.0000, 0.5000, 0.1825) and N at (0.0000, 0.3774, 0.5000).

As for the crystal system: orthorhombic. Its density of states at the Fermi level is 6.7 states/eV per cell.

---

(Q)
The following is a PBE-GGA calculation of crystalline CrTeN at its relaxed geometry, from the Alexandria database.

It has space group P4/nmm (No. 129, origin choice 2), with a = 3.3292 Å, b = 3.3292 Å, c = 9.8781 Å, α = 90.00°, β = 90.00° and γ = 90.00°. The distinct sites, in fractional coordinates, are Cr at (0.2500, 0.2500, 0.1003), Te at (0.2500, 0.2500, 0.6966) and N at (0.2500, 0.7500, 0.0000).

As for the crystal system: tetragonal. Its density of states at the Fermi level is 3.5 states/eV per cell.

---

Stability summary - winner: (Q); margin: 0.146 eV/atom.

---

(P)
The following is a PBE-GGA calculation of crystalline VCrTeN2 at its relaxed geometry, from the Alexandria database.

It has space group P4/mmm (No. 123), with a = 3.7840 Å, b = 3.7840 Å, c = 5.5768 Å, α = 90.00°, β = 90.00° and γ = 90.00°. The distinct sites, in fractional coordinates, are V at (0.0000, 0.0000, 0.0000), Cr at (0.5000, 0.5000, 0.5000), Te at (0.5000, 0.5000, 0.0000) and N at (0.0000, 0.5000, 0.5000).

As for the crystal system: tetragonal. Its density of states at the Fermi level is 3.9 states/eV per cell.

---

(Q)
The following is a PBE-GGA calculation of crystalline VCrTeN2 at its relaxed geometry, from the Alexandria database.

It has space group P4/mmm (No. 123), with a = 3.8147 Å, b = 3.8147 Å, c = 5.6677 Å, α = 90.00°, β = 90.00° and γ = 90.00°. The distinct sites, in fractional coordinates, are V at (0.0000, 0.0000, 0.0000), Cr at (0.5000, 0.5000, 0.5000), Te at (0.0000, 0.0000, 0.5000) and N at (0.0000, 0.5000, 0.0000).

As for the crystal system: tetragonal. Its density of states at the Fermi level is 2.5 states/eV per cell.

---

Stability summary - winner: (Q); margin: 0.173 eV/atom.

---

(P)
The following is a PBE-GGA calculation of crystalline VCrTe2N at its relaxed geometry, from the Alexandria database.

It has space group P4/mmm (No. 123), with a = 5.3268 Å, b = 5.3268 Å, c = 3.5335 Å, α = 90.00°, β = 90.00° and γ = 90.00°. The distinct sites, in fractional coordinates, are V at (0.0000, 0.0000, 0.0000), Cr at (0.5000, 0.5000, 0.5000), Te at (0.0000, 0.5000, 0.5000) and N at (0.5000, 0.5000, 0.0000).

As for the crystal system: tetragonal. Its density of states at the Fermi level is 4.0 states/eV per cell.

---

(Q)
The following is a PBE-GGA calculation of crystalline VCrTe2N at its relaxed geometry, from the Alexandria database.

It has space group P4/mmm (No. 123), with a = 5.4006 Å, b = 5.4006 Å, c = 3.6167 Å, α = 90.00°, β = 90.00° and γ = 90.00°. The distinct sites, in fractional coordinates, are V at (0.0000, 0.0000, 0.0000), Cr at (0.5000, 0.5000, 0.5000), Te at (0.0000, 0.5000, 0.0000) and N at (0.0000, 0.0000, 0.5000).

As for the crystal system: tetragonal. Its density of states at the Fermi level is 4.1 states/eV per cell.

---

Stability summary - winner: (Q); margin: 0.054 eV/atom.

---

(P)
The following is a PBE-GGA calculation of crystalline CrTe2WN at its relaxed geometry, from the Alexandria database.

It has space group P4/mmm (No. 123), with a = 5.2702 Å, b = 5.2702 Å, c = 3.5035 Å, α = 90.00°, β = 90.00° and γ = 90.00°. The distinct sites, in fractional coordinates, are Cr at (0.0000, 0.0000, 0.0000), Te at (0.0000, 0.5000, 0.0000), W at (0.5000, 0.5000, 0.5000) and N at (0.0000, 0.0000, 0.5000).

As for the crystal system: tetragonal. Its density of states at the Fermi level is 2.7 states/eV per cell.

---

(Q)
The following is a PBE-GGA calculation of crystalline CrTe2WN at its relaxed geometry, from the Alexandria database.

It has space group P4/mmm (No. 123), with a = 5.4184 Å, b = 5.4184 Å, c = 3.7873 Å, α = 90.00°, β = 90.00° and γ = 90.00°. The distinct sites, in fractional coordinates, are Cr at (0.0000, 0.0000, 0.0000), Te at (0.0000, 0.5000, 0.5000), W at (0.5000, 0.5000, 0.5000) and N at (0.5000, 0.5000, 0.0000).

As for the crystal system: tetragonal. Its density of states at the Fermi level is 8.7 states/eV per cell.

---

Stability summary - winner: (P); margin: 0.169 eV/atom.

---

(P)
The following is a PBE-GGA calculation of crystalline YCrTe2N at its relaxed geometry, from the Alexandria database.

It has space group P4/mmm (No. 123), with a = 6.0123 Å, b = 6.0123 Å, c = 4.0689 Å, α = 90.00°, β = 90.00° and γ = 90.00°. The distinct sites, in fractional coordinates, are Y at (0.0000, 0.0000, 0.0000), Cr at (0.5000, 0.5000, 0.5000), Te at (0.0000, 0.5000, 0.0000) and N at (0.0000, 0.0000, 0.5000).

As for the crystal system: tetragonal. Its density of states at the Fermi level is 5.2 states/eV per cell.

---

(Q)
The following is a PBE-GGA calculation of crystalline YCrTe2N at its relaxed geometry, from the Alexandria database.

It has space group P4/mmm (No. 123), with a = 5.4625 Å, b = 5.4625 Å, c = 3.6612 Å, α = 90.00°, β = 90.00° and γ = 90.00°. The distinct sites, in fractional coordinates, are Y at (0.0000, 0.0000, 0.0000), Cr at (0.5000, 0.5000, 0.5000), Te at (0.0000, 0.5000, 0.5000) and N at (0.5000, 0.5000, 0.0000).

As for the crystal system: tetragonal. Its density of states at the Fermi level is 1.9 states/eV per cell.

---

Stability summary - winner: (Q); margin: 0.896 eV/atom.

---

(P)
The following is a PBE-GGA calculation of crystalline YCrTeN2 at its relaxed geometry, from the Alexandria database.

It has space group P4/mmm (No. 123), with a = 3.9888 Å, b = 3.9888 Å, c = 5.2514 Å, α = 90.00°, β = 90.00° and γ = 90.00°. The distinct sites, in fractional coordinates, are Y at (0.0000, 0.0000, 0.0000), Cr at (0.5000, 0.5000, 0.5000), Te at (0.5000, 0.5000, 0.0000) and N at (0.0000, 0.5000, 0.5000).

As for the crystal system: tetragonal. Its density of states at the Fermi level is 2.2 states/eV per cell.

---

(Q)
The following is a PBE-GGA calculation of crystalline YCrTeN2 at its relaxed geometry, from the Alexandria database.

It has space group P4/mmm (No. 123), with a = 4.3859 Å, b = 4.3859 Å, c = 6.4154 Å, α = 90.00°, β = 90.00° and γ = 90.00°. The distinct sites, in fractional coordinates, are Y at (0.0000, 0.0000, 0.0000), Cr at (0.5000, 0.5000, 0.5000), Te at (0.0000, 0.0000, 0.5000) and N at (0.0000, 0.5000, 0.0000).

As for the crystal system: tetragonal. Its density of states at the Fermi level is 6.2 states/eV per cell.

---

Stability summary - winner: (P); margin: 0.789 eV/atom.

---

(P)
The following is a PBE-GGA calculation of crystalline ZnCrTe2N at its relaxed geometry, from the Alexandria database.

It has space group P4/mmm (No. 123), with a = 5.4256 Å, b = 5.4256 Å, c = 3.5736 Å, α = 90.00°, β = 90.00° and γ = 90.00°. The distinct sites, in fractional coordinates, are Zn at (0.0000, 0.0000, 0.0000), Cr at (0.5000, 0.5000, 0.5000), Te at (0.0000, 0.5000, 0.0000) and N at (0.0000, 0.0000, 0.5000).

As for the crystal system: tetragonal. Its density of states at the Fermi level is 6.2 states/eV per cell.

---

(Q)
The following is a PBE-GGA calculation of crystalline ZnCrTe2N at its relaxed geometry, from the Alexandria database.

It has space group P4/mmm (No. 123), with a = 5.4133 Å, b = 5.4133 Å, c = 3.5264 Å, α = 90.00°, β = 90.00° and γ = 90.00°. The distinct sites, in fractional coordinates, are Zn at (0.0000, 0.0000, 0.0000), Cr at (0.5000, 0.5000, 0.5000), Te at (0.0000, 0.5000, 0.5000) and N at (0.5000, 0.5000, 0.0000).

As for the crystal system: tetragonal. Its density of states at the Fermi level is 3.0 states/eV per cell.

---

Stability summary - winner: (Q); margin: 1.099 eV/atom.

---

(P)
The following is a PBE-GGA calculation of crystalline ZrCrTeN2 at its relaxed geometry, from the Alexandria database.

It has space group P4/mmm (No. 123), with a = 3.8922 Å, b = 3.8922 Å, c = 5.1729 Å, α = 90.00°, β = 90.00° and γ = 90.00°. The distinct sites, in fractional coordinates, are Zr at (0.0000, 0.0000, 0.0000), Cr at (0.5000, 0.5000, 0.5000), Te at (0.5000, 0.5000, 0.0000) and N at (0.0000, 0.5000, 0.5000).

As for the crystal system: tetragonal. Its density of states at the Fermi level is 3.4 states/eV per cell.

---

(Q)
The following is a PBE-GGA calculation of crystalline ZrCrTeN2 at its relaxed geometry, from the Alexandria database.

It has space group P4/mmm (No. 123), with a = 4.1441 Å, b = 4.1441 Å, c = 6.1118 Å, α = 90.00°, β = 90.00° and γ = 90.00°. The distinct sites, in fractional coordinates, are Zr at (0.0000, 0.0000, 0.0000), Cr at (0.5000, 0.5000, 0.5000), Te at (0.0000, 0.0000, 0.5000) and N at (0.0000, 0.5000, 0.0000).

As for the crystal system: tetragonal. Its density of states at the Fermi level is 4.9 states/eV per cell.

---

Stability summary - winner: (P); margin: 0.037 eV/atom.